No. 1
Here is crystalline B3C at its relaxed geometry from Alexandria. Energies are from GGA-PBE.

Lattice parameters (Å, degrees): 3.3737 4.4548 6.0788 107.15 94.79 96.10
Closest atoms and distances in Å follow each position.
Atoms (fractional coordinates):
B  0.0000  0.0000  0.0000  1 C 1.60, 3 B 1.68-1.79
B  0.0034  0.2124  0.8128  1 C 1.57, 2 B 1.68-1.70
B  0.0300  0.5373  0.5022  1 C 1.55, 1 B 1.71
B  0.2637  0.3409  0.2215  1 C 1.70, 3 B 1.72-1.79
B  0.3002  0.8708  0.7521  2 C 1.61-1.71, 1 B 1.77
B  0.3173  0.9577  0.2318  2 C 1.62-1.81, 2 B 1.75-1.77
B  0.3456  0.4798  0.7552  2 C 1.70-1.71, 3 B 1.70-1.89
B  0.5959  0.2868  0.4788  1 C 1.56, 1 B 1.71
B  0.6203  0.5952  0.1537  2 C 1.57-1.60, 1 B 1.72
C  0.0473  0.6799  0.2981  4 B 1.55-1.70
C  0.5654  0.1441  0.6836  4 B 1.56-1.70
C  0.5674  0.8003  0.9796  4 B 1.60-1.71

## Properties
The value obtained for the mass density is 2.57 g/cm³. The polymorph energy (0 for the lowest one) comes out at 166 meV/atom. As for the total magnetization: 0.0 Bohr magnetons per cell. The formation energy is 1.63 eV per formula unit. Its density of states at the Fermi level is 0.5 states/eV/f.u. The value obtained for the total energy is -6.907 eV per atom.


No. 2
Here is crystalline B7C5 at its relaxed geometry from Alexandria. Energies are from GGA-PBE.

Lattice parameters (Å, degrees): 4.4156 2.6991 7.1288 90.00 90.97 90.00
Closest atoms and distances in Å follow each position.
Atoms (fractional coordinates):
B  0.0000  0.0000  0.0000  3 B 1.67-1.76, 1 C 1.68
B  0.0199  0.5000  0.1370  1 C 1.63, 3 B 1.67-1.71
B  0.1622  0.0000  0.7111  3 C 1.58-1.59
B  0.3541  0.0000  0.1165  1 C 1.66, 1 B 1.76
B  0.6420  0.5000  0.7506  3 C 1.58-1.60
B  0.6959  0.5000  0.0026  4 B 1.71-1.90
B  0.7975  0.0000  0.3714  3 C 1.56-1.57
C  0.3035  0.5000  0.4289  4 C 1.53-1.61
C  0.3196  0.5000  0.6517  3 B 1.58, 1 C 1.59
C  0.4452  0.0000  0.3430  2 B 1.57-1.66, 2 C 1.61
C  0.8269  0.0000  0.7891  4 B 1.59-1.68
C  0.9717  0.5000  0.3626  1 C 1.53, 3 B 1.56-1.63

## Properties
The value obtained for the mass density is 2.65 g/cm³. The polymorph energy (0 for the lowest one) comes out at 223 meV/atom. As for the total magnetization: 0.0 Bohr magnetons per cell. The formation energy is 4.65 eV per formula unit. Its density of states at the Fermi level is 1.3 states/eV/f.u. The value obtained for the total energy is -7.351 eV per atom.


No. 3
Here is crystalline B7C5 at its relaxed geometry from Alexandria. Energies are from GGA-PBE.

Lattice parameters (Å, degrees): 7.0960 7.0960 4.7173 106.57 106.57 21.93
Closest atoms and distances in Å follow each position.
Atoms (fractional coordinates):
B  0.0000  0.0000  0.0000  2 C 1.58
B  0.0064  0.0064  0.4012  2 C 1.55
B  0.1232  0.1232  0.2664  2 C 1.62, 1 B 1.81
B  0.1700  0.1700  0.9395  1 C 1.58
B  0.3366  0.3366  0.7440  4 C 1.65-1.72
B  0.6170  0.6170  0.6538  2 C 1.60-1.64
B  0.8046  0.8046  0.1998  3 C 1.57-1.59
C  0.2884  0.2884  0.0239  4 B 1.57-1.65
C  0.4606  0.4606  0.8304  1 C 1.53, 3 B 1.58-1.66
C  0.4940  0.4940  0.5480  1 C 1.53, 3 B 1.55-1.64
C  0.6796  0.6796  0.4181  1 C 1.46, 3 B 1.60-1.62
C  0.7892  0.7892  0.5205  1 C 1.46, 1 B 1.59

## Properties
The value obtained for the mass density is 2.66 g/cm³. The polymorph energy (0 for the lowest one) comes out at 170 meV/atom. As for the total magnetization: 0.0 Bohr magnetons per cell. The formation energy is 4.01 eV per formula unit. Its density of states at the Fermi level is 1.9 states/eV/f.u. The value obtained for the total energy is -7.404 eV per atom.


No. 4
Here is crystalline BC at its relaxed geometry from Alexandria. Energies are from GGA-PBE.

Lattice parameters (Å, degrees): 4.7549 4.7549 6.7723 119.27 119.27 33.17
Closest atoms and distances in Å follow each position.
Atoms (fractional coordinates):
B  0.0000  0.0000  0.0000  3 C 1.57-1.63
B  0.0146  0.0146  0.3758  2 C 1.54
B  0.3586  0.3586  0.6402  3 C 1.58-1.65
B  0.6504  0.6504  0.7302  3 C 1.59-1.62
B  0.7870  0.7870  0.2508  3 C 1.62-1.64, 1 B 1.80
C  0.2048  0.2048  0.0962  1 C 1.52, 3 B 1.63-1.64
C  0.2066  0.2066  0.8729  2 C 1.52-1.66, 2 B 1.59
C  0.4014  0.4014  0.9088  3 B 1.57-1.65, 1 C 1.66
C  0.6058  0.6058  0.4653  3 B 1.54-1.62, 1 C 1.71
C  0.8060  0.8060  0.5019  3 B 1.58-1.62, 1 C 1.71

## Properties
The value obtained for the mass density is 2.63 g/cm³. The polymorph energy (0 for the lowest one) comes out at 261 meV/atom. As for the total magnetization: 0.0 Bohr magnetons per cell. The formation energy is 0.82 eV per formula unit. Its density of states at the Fermi level is 0.2 states/eV/f.u. The value obtained for the total energy is -7.539 eV per atom.


No. 5
Here is crystalline B7C5 at its relaxed geometry from Alexandria. Energies are from GGA-PBE.

Lattice parameters (Å, degrees): 2.4507 2.4507 13.5137 90.00 90.00 90.00
Closest atoms and distances in Å follow each position.
Atoms (fractional coordinates):
B  0.0000  0.0000  0.0000  4 B 1.80
B  0.0000  0.0000  0.3226  2 C 1.64, 2 B 1.83
B  0.0000  0.0000  0.6774  2 C 1.64, 2 B 1.83
B  0.0000  0.5000  0.5764  2 C 1.60
B  0.0000  0.5000  0.9029  2 C 1.65, 2 B 1.80
B  0.5000  0.0000  0.0971  2 C 1.65, 2 B 1.80
B  0.5000  0.0000  0.4236  2 C 1.60
C  0.0000  0.5000  0.2418  2 C 1.49, 2 B 1.64
C  0.5000  0.0000  0.7582  2 C 1.49, 2 B 1.64
C  0.5000  0.5000  0.1794  2 C 1.49, 2 B 1.65
C  0.5000  0.5000  0.5000  4 B 1.60
C  0.5000  0.5000  0.8206  2 C 1.49, 2 B 1.65

## Properties
The value obtained for the mass density is 2.78 g/cm³. The polymorph energy (0 for the lowest one) comes out at 219 meV/atom. As for the total magnetization: 0.0 Bohr magnetons per cell. The formation energy is 4.61 eV per formula unit. Its density of states at the Fermi level is 2.4 states/eV/f.u. The value obtained for the total energy is -7.355 eV per atom.


No. 6
Here is crystalline BC at its relaxed geometry from Alexandria. Energies are from GGA-PBE.

Lattice parameters (Å, degrees): 2.4115 2.5785 12.9176 90.00 90.00 90.00
Closest atoms and distances in Å follow each position.
Atoms (fractional coordinates):
B  0.0000  0.0000  0.0000  2 C 1.62
B  0.0000  0.0000  0.3655  2 C 1.59
B  0.0000  0.5000  0.6349  4 C 1.66
B  0.5000  0.0000  0.1065  4 B 1.83
B  0.5000  0.0000  0.4734  2 C 1.60
B  0.5000  0.5000  0.2065  2 C 1.65, 2 B 1.83
C  0.0000  0.0000  0.7159  2 C 1.48, 2 B 1.66
C  0.0000  0.5000  0.2932  4 B 1.59-1.65
C  0.0000  0.5000  0.9239  2 C 1.49, 2 B 1.62
C  0.5000  0.0000  0.7828  4 C 1.48-1.60
C  0.5000  0.5000  0.5469  4 B 1.60-1.66
C  0.5000  0.5000  0.8562  4 C 1.49-1.60

## Properties
The value obtained for the mass density is 2.83 g/cm³. The polymorph energy (0 for the lowest one) comes out at 229 meV/atom. As for the total magnetization: 0.0 Bohr magnetons per cell. The formation energy is 0.76 eV per formula unit. Its density of states at the Fermi level is 0.3 states/eV/f.u. The value obtained for the total energy is -7.571 eV per atom.


No. 7
Here is crystalline B7C5 at its relaxed geometry from Alexandria. Energies are from GGA-PBE.

Lattice parameters (Å, degrees): 4.3628 4.3628 8.2348 113.23 113.23 33.45
Closest atoms and distances in Å follow each position.
Atoms (fractional coordinates):
B  0.0000  0.0000  0.0000  1 C 1.66, 3 B 1.77-1.78
B  0.1855  0.1855  0.8777  2 C 1.56, 1 B 1.75
B  0.2949  0.2949  0.6542  2 C 1.62-1.67, 2 B 1.80
B  0.5160  0.5160  0.3289  2 C 1.63-1.65, 2 B 1.79
B  0.6369  0.6369  0.1443  1 C 1.60, 2 B 1.78
B  0.8730  0.8730  0.1871  1 C 1.59
B  0.9562  0.9562  0.7707  4 B 1.75-1.80, 1 C 1.86
C  0.0881  0.0881  0.6356  2 C 1.54, 1 B 1.67
C  0.3044  0.3044  0.4620  3 C 1.52-1.55, 1 B 1.62
C  0.5070  0.5070  0.5231  3 C 1.54-1.55, 1 B 1.63
C  0.7236  0.7236  0.3569  2 C 1.52, 2 B 1.60-1.65
C  0.7931  0.7931  0.9758  4 B 1.56-1.66

## Properties
The value obtained for the mass density is 2.86 g/cm³. The polymorph energy (0 for the lowest one) comes out at 214 meV/atom. As for the total magnetization: 0.0 Bohr magnetons per cell. The formation energy is 4.54 eV per formula unit. Its density of states at the Fermi level is 0.5 states/eV/f.u. The value obtained for the total energy is -7.360 eV per atom.


No. 8
Here is crystalline B7C5 at its relaxed geometry from Alexandria. Energies are from GGA-PBE.

Lattice parameters (Å, degrees): 3.5308 3.8252 6.4603 73.32 87.24 88.07
Closest atoms and distances in Å follow each position.
Atoms (fractional coordinates):
B  0.0000  0.0000  0.0000  3 C 1.58-1.61
B  0.0068  0.2564  0.3513  1 C 1.60
B  0.2078  0.5016  0.5203  1 C 1.60
B  0.4705  0.0903  0.7312  2 C 1.57-1.65
B  0.4940  0.8414  0.3240  1 C 1.66, 3 B 1.75-1.83
B  0.7251  0.9093  0.5432  1 C 1.69, 3 B 1.75-1.82
B  0.7319  0.6044  0.1500  1 C 1.55
C  0.2053  0.7445  0.8676  2 C 1.52-1.54, 2 B 1.61-1.65
C  0.2330  0.1555  0.1547  1 C 1.52, 3 B 1.58-1.66
C  0.4761  0.4553  0.0066  3 C 1.51-1.54, 1 B 1.55
C  0.7140  0.2952  0.8544  2 C 1.51-1.53, 2 B 1.57-1.61
C  0.9804  0.5894  0.7207  2 C 1.52-1.53, 2 B 1.60-1.69

## Properties
The value obtained for the mass density is 2.70 g/cm³. The polymorph energy (0 for the lowest one) comes out at 306 meV/atom. As for the total magnetization: 0.0 Bohr magnetons per cell. The formation energy is 5.64 eV per formula unit. Its density of states at the Fermi level is 1.3 states/eV/f.u. The value obtained for the total energy is -7.268 eV per atom.


No. 9
Here is crystalline B7C5 at its relaxed geometry from Alexandria. Energies are from GGA-PBE.

Lattice parameters (Å, degrees): 3.4095 4.3135 5.6021 92.61 94.09 107.97
Closest atoms and distances in Å follow each position.
Atoms (fractional coordinates):
B  0.0000  0.0000  0.0000  2 C 1.63-1.71, 2 B 1.74-1.76
B  0.0112  0.8684  0.4881  2 C 1.61, 1 B 1.65
B  0.2799  0.0193  0.7461  4 B 1.65-1.83
B  0.3269  0.6128  0.6814  2 C 1.73, 2 B 1.83-1.86
B  0.7189  0.3203  0.8799  1 C 1.67, 3 B 1.72-1.74
B  0.9017  0.2211  0.6168  1 C 1.64, 2 B 1.73-1.81
B  0.9695  0.3464  0.1604  2 C 1.57-1.59, 2 B 1.72-1.74
C  0.2766  0.9774  0.2625  2 C 1.54-1.55, 2 B 1.61-1.71
C  0.3706  0.6580  0.1894  3 C 1.55-1.59, 1 B 1.59
C  0.5786  0.5800  0.4283  2 C 1.52-1.57, 1 B 1.61
C  0.6125  0.6616  0.9562  1 C 1.59, 3 B 1.63-1.73
C  0.6628  0.2613  0.3615  2 C 1.52-1.54, 2 B 1.57-1.64

## Properties
The value obtained for the mass density is 2.89 g/cm³. The polymorph energy (0 for the lowest one) comes out at 252 meV/atom. As for the total magnetization: 0.0 Bohr magnetons per cell. The formation energy is 4.99 eV per formula unit. Its density of states at the Fermi level is 1.7 states/eV/f.u. The value obtained for the total energy is -7.322 eV per atom.


No. 10
Here is crystalline BC at its relaxed geometry from Alexandria. Energies are from GGA-PBE.

Lattice parameters (Å, degrees): 3.6303 4.3413 5.8427 105.54 92.39 109.13
Closest atoms and distances in Å follow each position.
Atoms (fractional coordinates):
B  0.0000  0.0000  0.0000  3 C 1.63-1.73
B  0.0144  0.0437  0.5482  1 C 1.56, 2 B 1.69-1.70
B  0.0759  0.4132  0.4832  2 C 1.55-1.58, 1 B 1.69
B  0.2801  0.7014  0.1160  2 C 1.61-1.74, 1 B 1.70
B  0.3360  0.0943  0.3022  1 C 1.59, 1 B 1.70
B  0.5713  0.7350  0.4181  2 C 1.68-1.80, 1 B 1.70
C  0.2705  0.0318  0.7647  2 C 1.46-1.49, 1 B 1.56
C  0.3660  0.7128  0.6904  2 C 1.49-1.50, 1 B 1.55
C  0.5886  0.6766  0.8974  2 C 1.45-1.50
C  0.6012  0.3435  0.8865  3 C 1.45-1.48
C  0.7243  0.4043  0.3089  1 C 1.55, 3 B 1.58-1.68
C  0.9045  0.3580  0.0710  2 C 1.48-1.55, 2 B 1.61-1.65

## Properties
The value obtained for the mass density is 2.74 g/cm³. The polymorph energy (0 for the lowest one) comes out at 263 meV/atom. As for the total magnetization: 0.0 Bohr magnetons per cell. The formation energy is 0.83 eV per formula unit. The value obtained for the total energy is -7.537 eV per atom.


Which of these has the lowest mass density?
B3C


Look up the polymorph energy (0 for the lowest one) of the tenth one.
263 meV/atom